## CuIrBr2 (PBE-GGA)

Data for a relaxed structure of CuIrBr2.

Calculated values
Total energy in eV/cell: -14.69

Cell lengths 3.627, 5.132, 5.128 Å; angles 60.20, 90.00, 90.00 degrees
Fractional positions:
Ir 0.500 0.740 0.740
Br 0.000 0.931 0.931
Br 0.500 0.291 0.291
Cu 0.000 0.537 0.537

## MnAgIN2 (PBE-GGA)

Data for a relaxed structure of MnAgIN2.

Calculated values
Total energy in eV/cell: -18.26

Cell lengths 3.929, 3.929, 6.892 Å; angles 90.00, 90.00, 90.00 degrees
Site moments in Bohr magnetons follow the coordinates.
Fractional positions:
N 0.500 0.000 0.000  -0.12
N 0.000 0.500 0.000  -0.12
Mn 0.500 0.500 0.500  0.14
Ag 0.000 0.000 0.000  0.03
I 0.000 0.000 0.500  -0.03

| no. | density of states at the Fermi level (states/eV per cell) | uncorrected formation energy (eV per formula unit) | magnetic moment (μB per formula unit) |
| --- | --- | --- | --- |
| 1 | 3.1 | 1.62 | 0.00 |
| 2 | 8.4 | 11.96 | 0.13 |